Entry 1:
Density functional theory data (GGA-PBE) for a relaxed structure of La5Pr8Dy.

Lattice parameters (Å, degrees): 7.425 8.266 9.105 111.18 90.12 102.85
Fractional positions:
1 La 0.000 0.000 0.000
2 La 0.070 0.289 0.430
3 La 0.356 0.430 0.145
4 La 0.500 0.001 0.002
5 La 0.786 0.141 0.715
6 Pr 0.141 0.572 0.856
7 Pr 0.214 0.859 0.290
8 Pr 0.284 0.142 0.715
9 Pr 0.428 0.716 0.573
10 Pr 0.573 0.288 0.431
11 Pr 0.643 0.572 0.856
12 Pr 0.716 0.857 0.289
13 Pr 0.858 0.431 0.146
14 Dy 0.928 0.715 0.573

Calculated values
SG: No. 1
E: -0.3534 Ry/atom
DFT formation energy: 0.01 eV/atom



Entry 2:
Density functional theory data (GGA-PBE) for a relaxed structure of MoIrC2Se.

Lattice parameters (Å, degrees): 3.836 3.836 4.982 90.00 90.00 90.00
Fractional positions:
1 Mo 0.000 0.000 0.000
2 Ir 0.500 0.500 0.000
3 C 0.000 0.500 0.500
4 C 0.500 0.000 0.500
5 Se 0.000 0.000 0.500

Calculated values
SG: No. 123
Raw formation energy: 2690 meV per atom
E: -0.4141 Ry/atom



Entry 3:
Density functional theory data (GGA-PBE) for a relaxed structure of LaCu4Br.

Lattice parameters (Å, degrees): 5.324 5.324 5.324 60.00 60.00 60.00
Fractional positions:
1 La 0.000 0.000 0.000
2 Cu 0.376 0.376 0.376
3 Cu 0.376 0.376 0.873
4 Cu 0.376 0.873 0.376
5 Cu 0.873 0.376 0.376
6 Br 0.750 0.750 0.750

Calculated values
SG: No. 216
Raw formation energy: -66 meV per atom
E: -0.2864 Ry/atom



Entry 4:
Density functional theory data (GGA-PBE) for a relaxed structure of Al2TeAs.

Lattice parameters (Å, degrees): 3.463 4.883 4.997 90.00 90.00 90.00
Fractional positions:
1 Al 0.000 0.000 0.000
2 Al 0.500 0.500 0.000
3 Te 0.000 0.500 0.500
4 As 0.500 0.000 0.500

Calculated values
SG: No. 47
Raw formation energy: 262 meV per atom
E: -0.2614 Ry/atom
Excess energy over the best structure of this formula in the dataset: 511 meV/atom



Entry 5:
Density functional theory data (GGA-PBE) for a relaxed structure of CoSiAsBr2.

Lattice parameters (Å, degrees): 4.916 4.916 4.565 90.00 90.00 90.00
Fractional positions:
1 Co 0.000 0.000 0.000
2 Si 0.500 0.500 0.500
3 As 0.000 0.000 0.500
4 Br 0.000 0.500 0.000
5 Br 0.500 0.000 0.000

Calculated values
SG: No. 123
Raw formation energy: 582 meV per atom
E: -0.2589 Ry/atom
Excess energy over the best structure of this formula in the dataset: 0 meV/atom



Entry 6:
Density functional theory data (GGA-PBE) for a relaxed structure of SbHI2N.

Lattice parameters (Å, degrees): 6.244 6.244 3.903 90.00 90.00 90.00
Fractional positions:
1 Sb 0.000 0.000 0.000
2 H 0.500 0.500 0.500
3 I 0.000 0.500 0.000
4 I 0.500 0.000 0.000
5 N 0.000 0.000 0.500

Calculated values
SG: No. 123
E: -0.2030 Ry/atom
Excess energy over the best structure of this formula in the dataset: 0 meV/atom



Entry 7:
Density functional theory data (GGA-PBE) for a relaxed structure of KBa2Hg.

Lattice parameters (Å, degrees): 4.346 4.346 10.965 90.00 90.00 90.00
Fractional positions:
1 K 0.000 0.000 0.000
2 Ba 0.000 0.000 0.634
3 Ba 0.500 0.500 0.328
4 Hg 0.500 0.500 0.793

Calculated values
SG: No. 99
E: -0.1078 Ry/atom
DFT formation energy: -0.15 eV/atom



Entry 8:
Density functional theory data (GGA-PBE) for a relaxed structure of Ag2Pd5PtAu.

Lattice parameters (Å, degrees): 8.727 8.727 8.727 135.14 135.14 65.31
Fractional positions:
1 Ag 0.132 0.632 0.763
2 Ag 0.368 0.132 0.500
3 Ag 0.632 0.868 0.500
4 Ag 0.868 0.368 0.237
5 Pd 0.000 0.000 0.000
6 Pd 0.083 0.109 0.500
7 Pd 0.109 0.609 0.026
8 Pd 0.391 0.417 0.500
9 Pd 0.417 0.917 0.026
10 Pd 0.500 0.500 0.000
11 Pd 0.583 0.083 0.974
12 Pd 0.609 0.583 0.500
13 Pd 0.891 0.391 0.974
14 Pd 0.917 0.891 0.500
15 Pt 0.250 0.250 0.000
16 Pt 0.750 0.750 0.000
17 Au 0.250 0.750 0.500
18 Au 0.750 0.250 0.500

Calculated values
SG: No. 140
E: -0.3079 Ry/atom
DFT formation energy: 0.36 eV/atom



Entry 9:
Density functional theory data (GGA-PBE) for a relaxed structure of NbInHg2S.

Lattice parameters (Å, degrees): 5.090 5.090 5.333 90.00 90.00 90.00
Fractional positions:
1 Nb 0.000 0.000 0.000
2 In 0.500 0.500 0.000
3 Hg 0.000 0.500 0.500
4 Hg 0.500 0.000 0.500
5 S 0.500 0.500 0.500

Calculated values
SG: No. 123
Raw formation energy: 1024 meV per atom
E: -0.1826 Ry/atom



Entry 10:
Density functional theory data (GGA-PBE) for a relaxed structure of SiHgIr2.

Lattice parameters (Å, degrees): 4.453 4.453 4.453 60.00 60.00 60.00
Fractional positions:
1 Si 0.000 0.000 0.000
2 Hg 0.500 0.500 0.500
3 Ir 0.250 0.250 0.250
4 Ir 0.750 0.750 0.750

Calculated values
SG: No. 225
Raw formation energy: 292 meV per atom
E: -0.4094 Ry/atom
Excess energy over the best structure of this formula in the dataset: 483 meV/atom



Entry 11:
Density functional theory data (GGA-PBE) for a relaxed structure of K4La3BiS8.

Lattice parameters (Å, degrees): 8.872 8.872 8.872 57.37 57.37 57.37
Fractional positions:
1 K 0.000 0.000 0.000
2 K 0.000 0.500 0.500
3 K 0.500 0.000 0.500
4 K 0.500 0.500 0.000
5 La 0.000 0.000 0.500
6 La 0.000 0.500 0.000
7 La 0.500 0.000 0.000
8 Bi 0.500 0.500 0.500
9 S 0.236 0.236 0.236
10 S 0.240 0.734 0.734
11 S 0.266 0.266 0.760
12 S 0.266 0.760 0.266
13 S 0.734 0.240 0.734
14 S 0.734 0.734 0.240
15 S 0.760 0.266 0.266
16 S 0.764 0.764 0.764

Calculated values
SG: No. 166
Raw formation energy: -1643 meV per atom
E: -0.3783 Ry/atom



Entry 12:
Density functional theory data (GGA-PBE) for a relaxed structure of K2AgH3.

Lattice parameters (Å, degrees): 8.605 7.390 6.926 73.81 55.57 50.62
Fractional positions:
1 K 0.234 0.766 0.766
2 K 0.250 0.250 0.250
3 K 0.750 0.750 0.750
4 K 0.766 0.234 0.234
5 Ag 0.227 0.227 0.773
6 Ag 0.773 0.773 0.227
7 H 0.015 0.266 0.734
8 H 0.266 0.015 0.985
9 H 0.364 0.364 0.636
10 H 0.636 0.636 0.364
11 H 0.734 0.985 0.015
12 H 0.985 0.734 0.266

Calculated values
SG: No. 69
E: -0.1937 Ry/atom
Excess energy over the best structure of this formula in the dataset: 5 meV/atom



Entry 13:
Density functional theory data (GGA-PBE) for a relaxed structure of CeInNi.

Lattice parameters (Å, degrees): 8.980 4.492 6.788 90.00 90.00 90.00
Fractional positions:
1 Ce 0.137 0.250 0.122
2 Ce 0.363 0.750 0.622
3 Ce 0.637 0.250 0.378
4 Ce 0.863 0.750 0.878
5 In 0.091 0.250 0.630
6 In 0.409 0.750 0.130
7 In 0.591 0.250 0.870
8 In 0.909 0.750 0.370
9 Ni 0.158 0.750 0.869
10 Ni 0.342 0.250 0.369
11 Ni 0.658 0.750 0.631
12 Ni 0.842 0.250 0.131

Calculated values
SG: No. 62
E: -0.3769 Ry/atom
DFT formation energy: -0.31 eV/atom



Entry 14:
Density functional theory data (GGA-PBE) for a relaxed structure of PmEuAlAu.

Lattice parameters (Å, degrees): 5.289 5.289 5.289 60.00 60.00 60.00
Fractional positions:
1 Pm 0.000 0.000 0.000
2 Eu 0.500 0.500 0.500
3 Al 0.250 0.250 0.250
4 Au 0.750 0.750 0.750

Calculated values
SG: No. 216
E: -0.4402 Ry/atom
DFT formation energy: -0.48 eV/atom



Entry 15:
Density functional theory data (GGA-PBE) for a relaxed structure of PmErSn3.

Lattice parameters (Å, degrees): 4.370 6.577 9.937 90.00 90.00 90.00
Fractional positions:
1 Pm 0.250 0.250 0.116
2 Pm 0.750 0.750 0.884
3 Er 0.250 0.750 0.454
4 Er 0.750 0.250 0.546
5 Sn 0.250 0.007 0.715
6 Sn 0.250 0.493 0.715
7 Sn 0.250 0.750 0.131
8 Sn 0.750 0.250 0.869
9 Sn 0.750 0.507 0.285
10 Sn 0.750 0.993 0.285

Calculated values
SG: No. 59
E: -0.3519 Ry/atom
DFT formation energy: -0.52 eV/atom



Entry 16:
Density functional theory data (GGA-PBE) for a relaxed structure of LiTaVI2.

Lattice parameters (Å, degrees): 5.689 5.689 4.800 90.00 90.00 90.00
Fractional positions:
1 Li 0.000 0.000 0.000
2 Ta 0.500 0.500 0.500
3 V 0.500 0.500 0.000
4 I 0.000 0.500 0.500
5 I 0.500 0.000 0.500

Calculated values
SG: No. 123
Raw formation energy: 783 meV per atom
E: -0.3244 Ry/atom



Entry 17:
Density functional theory data (GGA-PBE) for a relaxed structure of NiPPt.

Lattice parameters (Å, degrees): 4.026 4.026 4.026 60.00 60.00 60.00
Fractional positions:
1 Ni 0.000 0.000 0.000
2 P 0.500 0.500 0.500
3 Pt 0.750 0.750 0.750

Calculated values
SG: No. 216
E: -0.4251 Ry/atom
DFT formation energy: -0.04 eV/atom



Entry 18:
Density functional theory data (GGA-PBE) for a relaxed structure of Cs2NaLiH.

Lattice parameters (Å, degrees): 7.227 7.227 4.276 90.00 90.00 90.00
Fractional positions:
1 Cs 0.000 0.500 0.000
2 Cs 0.500 0.000 0.000
3 Na 0.000 0.000 0.500
4 Li 0.500 0.500 0.500
5 H 0.500 0.500 0.000

Calculated values
SG: No. 123
E: -0.1160 Ry/atom



Entry 19:
Density functional theory data (GGA-PBE) for a relaxed structure of AsRhSe2Br.

Lattice parameters (Å, degrees): 4.933 4.933 4.865 90.00 90.00 90.00
Fractional positions:
1 As 0.000 0.000 0.000
2 Rh 0.000 0.000 0.500
3 Se 0.000 0.500 0.500
4 Se 0.500 0.000 0.500
5 Br 0.500 0.500 0.000

Calculated values
SG: No. 123
Raw formation energy: 424 meV per atom
E: -0.2723 Ry/atom
Excess energy over the best structure of this formula in the dataset: 0 meV/atom



Entry 20:
Density functional theory data (GGA-PBE) for a relaxed structure of TmThPa2.

Lattice parameters (Å, degrees): 4.698 4.698 4.980 90.00 90.00 90.00
Fractional positions:
1 Tm 0.000 0.000 0.000
2 Th 0.500 0.500 0.000
3 Pa 0.000 0.500 0.500
4 Pa 0.500 0.000 0.500

Calculated values
SG: No. 123
E: -0.5543 Ry/atom
DFT formation energy: 0.18 eV/atom
Excess energy over the best structure of this formula in the dataset: 4 meV/atom



Entry 21:
Density functional theory data (GGA-PBE) for a relaxed structure of BeIr2W.

Lattice parameters (Å, degrees): 4.808 4.808 4.808 134.67 134.67 66.04
Fractional positions:
1 Be 0.000 0.000 0.000
2 Ir 0.250 0.750 0.500
3 Ir 0.500 0.500 0.000
4 W 0.750 0.250 0.500

Calculated values
SG: No. 119
E: -0.6403 Ry/atom
DFT formation energy: -0.11 eV/atom



Entry 22:
Density functional theory data (GGA-PBE) for a relaxed structure of Mo2RhSe.

Lattice parameters (Å, degrees): 3.721 3.721 4.556 90.00 90.00 90.00
Fractional positions:
1 Mo 0.000 0.500 0.000
2 Mo 0.500 0.000 0.000
3 Rh 0.000 0.000 0.500
4 Se 0.500 0.500 0.500

Calculated values
SG: No. 123
Raw formation energy: 300 meV per atom
E: -0.5751 Ry/atom



Entry 23:
Density functional theory data (GGA-PBE) for a relaxed structure of Li2ScPt5.

Lattice parameters (Å, degrees): 6.610 5.538 5.367 74.60 53.87 51.52
Fractional positions:
1 Li 0.239 0.761 0.239
2 Li 0.761 0.239 0.761
3 Sc 0.317 0.317 0.683
4 Pt 0.246 0.246 0.254
5 Pt 0.313 0.811 0.687
6 Pt 0.746 0.746 0.754
7 Pt 0.811 0.313 0.189
8 Pt 0.815 0.815 0.185

Calculated values
SG: No. 42
E: -0.4237 Ry/atom
DFT formation energy: -0.72 eV/atom



Entry 24:
Density functional theory data (GGA-PBE) for a relaxed structure of AcHPt2.

Lattice parameters (Å, degrees): 4.931 4.931 3.948 90.00 90.00 121.78
Fractional positions:
1 Ac 0.000 0.000 0.000
2 H 0.500 0.500 0.500
3 Pt 0.304 0.696 0.500
4 Pt 0.696 0.304 0.500

Calculated values
SG: No. 65
E: -0.4058 Ry/atom
Excess energy over the best structure of this formula in the dataset: 0 meV/atom



Entry 25:
Density functional theory data (GGA-PBE) for a relaxed structure of Mn2SiI.

Lattice parameters (Å, degrees): 8.053 8.053 8.053 142.52 142.52 54.05
Fractional positions:
1 Mn 0.035 0.625 0.910
2 Mn 0.375 0.285 0.410
3 Mn 0.715 0.125 0.090
4 Mn 0.875 0.965 0.590
5 Si 0.000 0.000 0.000
6 Si 0.750 0.250 0.500
7 I 0.250 0.750 0.500
8 I 0.500 0.500 0.000

Calculated values
SG: No. 122
Raw formation energy: 537 meV per atom
E: -0.4256 Ry/atom
Excess energy over the best structure of this formula in the dataset: 412 meV/atom



Entry 26:
Density functional theory data (GGA-PBE) for a relaxed structure of AcLaSmAl.

Lattice parameters (Å, degrees): 5.650 5.650 5.650 60.00 60.00 60.00
Fractional positions:
1 Ac 0.000 0.000 0.000
2 La 0.250 0.250 0.250
3 Sm 0.750 0.750 0.750
4 Al 0.500 0.500 0.500

Calculated values
SG: No. 216
E: -0.3190 Ry/atom
DFT formation energy: 0.03 eV/atom